# 1
The following is a GGA-PBE calculation of an optimized crystal structure of SrCd3Au, from the Alexandria database.

E_form   -0.370 eV per atom
Total moment   0.00 μB per formula unit
Distance to the lowest polymorph of the same formula   0.000 eV per atom

Unit cell a=6.437 b=12.763 c=6.405 alpha=90.00 beta=90.00 gamma=90.00
Space group Cmcm (No. 63)
Unique sites:
Sr: 0.000 0.249 0.250 x4
Cd: 0.000 0.138 0.750 x4
Cd: 0.237 0.500 0.000 x8
Au: 0.000 0.353 0.750 x4


# 2
The following is a GGA-PBE calculation of an optimized crystal structure of SrCdAu3, from the Alexandria database.

E_form   -0.478 eV per atom
Total moment   0.00 μB per formula unit
Distance to the lowest polymorph of the same formula   0.009 eV per atom

Unit cell a=6.9064 b=6.9064 c=5.9804 alpha=90.00 beta=90.00 gamma=120.00
Space group P6_3/mmc (No. 194)
Unique sites:
Sr: 0.3333 0.6667 0.2500 x2
Cd: 0.0000 0.0000 0.0000 x2
Au: 0.1992 0.3984 0.7500 x6


# 3
The following is a GGA-PBE calculation of an optimized crystal structure of Sr2CdAu, from the Alexandria database.

E_form   -0.503 eV per atom
Total moment   0.00 μB per formula unit

Unit cell a=3.920 b=5.597 c=5.597 alpha=90.00 beta=90.00 gamma=90.00
Space group Pmm2 (No. 25)
Unique sites:
Sr: 0.000 0.000 0.000 x1
Sr: 0.000 0.500 0.500 x1
Cd: 0.500 0.000 0.501 x1
Au: 0.500 0.500 0.999 x1


# 4
The following is a GGA-PBE calculation of an optimized crystal structure of SrCd3Au, from the Alexandria database.

E_form   -0.260 eV per atom
Total moment   0.00 μB per formula unit
Distance to the lowest polymorph of the same formula   0.110 eV per atom

Unit cell a=7.1385 b=7.1385 c=6.0003 alpha=90.00 beta=90.00 gamma=120.00
Space group P6_3/mmc (No. 194)
Unique sites:
Sr: 0.3333 0.6667 0.2500 x2
Cd: 0.1938 0.3875 0.7500 x6
Au: 0.0000 0.0000 0.0000 x2


# 5
The following is a GGA-PBE calculation of an optimized crystal structure of Sr2Cd3Au, from the Alexandria database.

E_form   -0.442 eV per atom
Total moment   0.00 μB per formula unit
Distance to the lowest polymorph of the same formula   0.005 eV per atom

Unit cell a=8.161 b=10.019 c=17.140 alpha=90.00 beta=90.00 gamma=90.00
Space group Fmmm (No. 69)
Unique sites:
Sr: 0.244 0.000 0.000 x8
Sr: 0.250 0.250 0.250 x8
Cd: 0.000 0.000 0.331 x8
Cd: 0.000 0.248 0.085 x16
Au: 0.000 0.000 0.166 x8


# 6
The following is a GGA-PBE calculation of an optimized crystal structure of Sr2TbCdAu6, from the Alexandria database.

E_form   -0.224 eV per atom
Total moment   0.00 μB per formula unit

Unit cell a=10.807 b=10.807 c=10.807 alpha=90.00 beta=90.00 gamma=90.00
Space group Fm-3m (No. 225)
Unique sites:
Sr: 0.250 0.250 0.250 x8
Tb: 0.000 0.000 0.000 x4
Cd: 0.000 0.000 0.500 x4
Au: 0.000 0.000 0.254 x24


# 7
The following is a GGA-PBE calculation of an optimized crystal structure of Sr2CdTcAu, from the Alexandria database.

E_form   0.735 eV per atom
Total moment   2.94 μB per formula unit

Unit cell a=6.091 b=6.091 c=5.052 alpha=90.00 beta=90.00 gamma=90.00
Space group P4/mmm (No. 123)
Unique sites:
Sr: 0.000 0.500 0.000 x2
Cd: 0.000 0.000 0.000 x1
Tc: 0.000 0.000 0.500 x1
Au: 0.500 0.500 0.500 x1


# 8
The following is a GGA-PBE calculation of an optimized crystal structure of Sr2TlCdAu6, from the Alexandria database.

E_form   -0.113 eV per atom
Total moment   0.00 μB per formula unit

Unit cell a=10.580 b=10.580 c=10.580 alpha=90.00 beta=90.00 gamma=90.00
Space group Fm-3m (No. 225)
Unique sites:
Sr: 0.250 0.250 0.250 x8
Tl: 0.000 0.000 0.000 x4
Cd: 0.000 0.000 0.500 x4
Au: 0.000 0.000 0.253 x24